# PBE AcCeGa, relaxed
# - formation energy (eV per atom) = -0.2160
# - N(E_F) (states/eV/cell) = 14.04
# - relative energy among the computed polymorphs (eV/atom) = 0.137
# - VASP energy (eV per atom) = -4.5724
# - total moment (μB/f.u.) = 1.5
# - crystal system = tetragonal
data_AcCeGa
_chemical_formula_sum 'Ac2 Ce2 Ga2'
_cell_length_a 3.9064
_cell_length_b 3.9064
_cell_length_c 12.0524
_cell_angle_alpha 90.00
_cell_angle_beta 90.00
_cell_angle_gamma 90.00
_space_group_name_H-M_alt 'I 4 m m'
_space_group_IT_number 107
_space_group_name_Hall 'I 4 -2'
loop_
_atom_site_label
_atom_site_fract_x
_atom_site_fract_y
_atom_site_fract_z
Ac1 0.0000 0.0000 0.0000
Ce1 0.0000 0.0000 0.2835
Ga1 0.0000 0.0000 0.6602


# PBE Ho2Cd16Ag, relaxed
# - formation energy (eV per atom) = -0.0935
# - N(E_F) (states/eV/cell) = 17.40
# - VASP energy (eV per atom) = -1.4960
# - total moment (μB/f.u.) = 0.0
# - crystal system = trigonal
data_Ho2Cd16Ag
_chemical_formula_sum 'Ho6 Cd48 Ag3'
_cell_length_a 9.9523
_cell_length_b 9.9523
_cell_length_c 15.1192
_cell_angle_alpha 90.00
_cell_angle_beta 90.00
_cell_angle_gamma 120.00
_space_group_name_H-M_alt 'R 3 m'
_space_group_IT_number 160
_space_group_name_Hall 'R 3 -2"'
loop_
_atom_site_label
_atom_site_fract_x
_atom_site_fract_y
_atom_site_fract_z
Ho1 0.0000 0.0000 0.0000
Ho2 0.0000 0.0000 0.3389
Cd1 0.0000 0.0000 0.7829
Cd2 0.0018 0.3016 0.6745
Cd3 0.0270 0.5135 0.5330
Cd4 0.0572 0.5286 0.1657
Cd5 0.0682 0.5341 0.8262
Ag1 0.0000 0.0000 0.5981


# PBE Sc2AlTe, relaxed
# - N(E_F) (states/eV/cell) = 5.11
# - relative energy among the computed polymorphs (eV/atom) = 0.064
# - VASP energy (eV per atom) = -5.4517
# - total moment (μB/f.u.) = 0.0
# - crystal system = tetragonal
# - formation energy from raw total energies (meV per atom) = -565
data_Sc2AlTe
_chemical_formula_sum 'Sc4 Al2 Te2'
_cell_length_a 4.1550
_cell_length_b 4.1550
_cell_length_c 9.9274
_cell_angle_alpha 90.00
_cell_angle_beta 90.00
_cell_angle_gamma 90.00
_space_group_name_H-M_alt 'I -4 m 2'
_space_group_IT_number 119
_space_group_name_Hall 'I -4 -2'
loop_
_atom_site_label
_atom_site_fract_x
_atom_site_fract_y
_atom_site_fract_z
Sc1 0.0000 0.0000 0.0000
Sc2 0.0000 0.5000 0.2500
Al1 0.0000 0.5000 0.7500
Te1 0.0000 0.0000 0.5000


# PBE HoPa2Tc4, relaxed
# - formation energy (eV per atom) = 0.1680
# - N(E_F) (states/eV/cell) = 20.69
# - VASP energy (eV per atom) = -9.1226
# - total moment (μB/f.u.) = 0.0
# - crystal system = trigonal
data_HoPa2Tc4
_chemical_formula_sum 'Ho3 Pa6 Tc12'
_cell_length_a 4.4512
_cell_length_b 4.4512
_cell_length_c 25.5257
_cell_angle_alpha 90.00
_cell_angle_beta 90.00
_cell_angle_gamma 120.00
_space_group_name_H-M_alt 'R -3 m'
_space_group_IT_number 166
_space_group_name_Hall '-R 3 2"'
loop_
_atom_site_label
_atom_site_fract_x
_atom_site_fract_y
_atom_site_fract_z
Ho1 0.0000 0.0000 0.0000
Pa1 0.0000 0.0000 0.2408
Tc1 0.0000 0.0000 0.1308
Tc2 0.0000 0.0000 0.4112